[1]
A geometry-optimized Y2Al6FeRu structure. Source: the Alexandria database, functional PBE.

Output
Magnetic moment ... 0.0 Bohr magnetons per cell
Space group ... Fm-3m
Formation enthalpy at 0 K ... -343 meV/atom

a b c (Å): 6.484 6.484 6.489
angles (deg): 59.97 59.97 89.96
Element x y z (fractional)
Ru 0.500 0.500 0.000
Fe 0.000 0.000 0.000
Al 0.757 0.757 0.000
Al 0.757 0.757 0.487
Al 0.243 0.757 0.000
Al 0.243 0.243 0.000
Al 0.757 0.243 0.000
Al 0.243 0.243 0.513
Y 0.750 0.250 0.500
Y 0.250 0.750 0.500

[2]
A geometry-optimized AlFe2S4 structure. Source: the Alexandria database, functional PBE.

Output
Magnetic moment ... 9.9 Bohr magnetons per cell
Space group ... Imma
Formation energy (no corrections) ... -0.57 eV/atom

a b c (Å): 6.931 6.931 6.931
angles (deg): 120.84 119.86 89.40
Element x y z (fractional)
S 0.766 0.756 0.490
S 0.233 0.257 0.977
S 0.234 0.244 0.510
S 0.780 0.257 0.523
S 0.220 0.743 0.477
S 0.766 0.276 0.010
S 0.767 0.743 0.023
S 0.234 0.724 0.990
Al 0.500 0.500 0.000
Al 0.000 0.500 0.500
Fe 0.376 0.126 0.250
Fe 0.000 0.500 0.000
Fe 0.000 0.000 0.500
Fe 0.624 0.874 0.750

[3]
A geometry-optimized AlFeS2 structure. Source: the Alexandria database, functional PBE.

Output
Magnetic moment ... 1.1 Bohr magnetons per cell
Space group ... I-42d
Formation energy (no corrections) ... -0.45 eV/atom

a b c (Å): 5.152 5.152 6.350
angles (deg): 66.07 66.07 90.00
Element x y z (fractional)
Al 0.250 0.750 0.500
Al 0.500 0.500 0.000
Fe 0.750 0.250 0.500
Fe 0.000 0.000 0.000
S 0.108 0.625 0.250
S 0.642 0.125 0.250
S 0.875 0.892 0.750
S 0.375 0.358 0.750

[4]
A geometry-optimized Al2FeS structure. Source: the Alexandria database, functional PBE.

Output
Magnetic moment ... 4.5 Bohr magnetons per cell
Space group ... I-42d
Formation energy (no corrections) ... 0.10 eV/atom

a b c (Å): 6.770 6.770 5.532
angles (deg): 52.28 52.28 90.00
Element x y z (fractional)
Al 0.875 0.858 0.750
Al 0.375 0.392 0.750
Al 0.608 0.125 0.250
Al 0.142 0.625 0.250
S 0.500 0.500 0.000
S 0.250 0.750 0.500
Fe 0.750 0.250 0.500
Fe 0.000 0.000 0.000

[5]
A geometry-optimized AlFeS2 structure. Source: the Alexandria database, functional PBE.

Output
Magnetic moment ... 3.0 Bohr magnetons per cell
Space group ... R-3m
Formation energy (no corrections) ... -0.41 eV/atom

a b c (Å): 7.362 7.362 7.362
angles (deg): 27.07 27.07 27.07
Element x y z (fractional)
Fe 0.000 0.000 0.000
S 0.104 0.104 0.104
S 0.896 0.896 0.896
Al 0.500 0.500 0.500

[6]
A geometry-optimized Al2FeS4 structure. Source: the Alexandria database, functional PBE.

Output
Magnetic moment ... 0.0 Bohr magnetons per cell
Space group ... R-3m
Formation energy (no corrections) ... -0.78 eV/atom

a b c (Å): 3.565 3.565 12.832
angles (deg): 82.02 82.02 60.00
Element x y z (fractional)
S 0.114 0.114 0.658
S 0.306 0.306 0.083
S 0.694 0.694 0.917
S 0.886 0.886 0.342
Al 0.753 0.753 0.741
Al 0.247 0.247 0.259
Fe 0.000 0.000 0.000

VASP energy (eV/cell)
-56.55; -82.27; -44.52; -39.35; -22.10; -37.92